Material: ZrCd2
Method: DFT, PBE
State: optimized geometry

Space group: Cm
M_tot (Bohr magnetons per cell): 0.0
Energy of formation from the pure elements (kJ/mol of atoms): -2.4

Lattice parameters (Å, degrees): 6.161 6.161 7.515 103.85 103.85 28.86
Atoms (fractional coordinates):
Zr: 0.000 0.000 0.000
Zr: 0.658 0.658 0.309
Cd: 0.271 0.271 0.035
Cd: 0.327 0.327 0.656
Cd: 0.601 0.601 0.704
Cd: 0.935 0.935 0.372